## HgTe2PdW (PBE)

Data for crystalline HgTe2PdW at its relaxed geometry.

## Properties
ρ, g/cm³: 9.1
M_tot, μB/cell: 3.10
E_form (uncorrected), eV per formula unit: 5.680

a = 5.2249 Å, b = 4.9820 Å, c = 5.2249 Å
α = 90.00°, β = 90.00°, γ = 90.00°
Last column: magnetic moment on the atom in μB.
Atoms (fractional coordinates):
1 Pd 0.0000 0.0000 0.0000  0.04
2 Te 0.0000 0.0000 0.5000  -0.08
3 Te 0.5000 0.0000 0.0000  -0.06
4 Hg 0.5000 0.5000 0.5000  -0.03
5 W 0.0000 0.5000 0.0000  2.48

***

## CsAgC3 (PBE)

Data for crystalline CsAgC3 at its relaxed geometry.

## Properties
ρ, g/cm³: 4.6
M_tot, μB/cell: 0.00
ΔE_f, meV/atom: 4204

a = 4.6356 Å, b = 4.6356 Å, c = 4.6356 Å
α = 90.00°, β = 90.00°, γ = 90.00°
Atoms (fractional coordinates):
1 Cs 0.0000 0.0000 0.0000
2 C 0.0000 0.5000 0.0000
3 C 0.0000 0.0000 0.5000
4 C 0.5000 0.0000 0.0000
5 Ag 0.5000 0.5000 0.5000

***

## LiNdYAu (PBE)

Data for crystalline LiNdYAu at its relaxed geometry.

## Properties
ρ, g/cm³: 7.3
M_tot, μB/cell: 0.00
E above lowest polymorph, meV per atom: 17
ΔE_f, meV/atom: -370

a = 5.2019 Å, b = 5.2019 Å, c = 5.2019 Å
α = 60.00°, β = 60.00°, γ = 60.00°
Atoms (fractional coordinates):
1 Y 0.5000 0.5000 0.5000
2 Nd 0.0000 0.0000 0.0000
3 Au 0.2500 0.2500 0.2500
4 Li 0.7500 0.7500 0.7500

***

## LaHg2B (PBE)

Data for crystalline LaHg2B at its relaxed geometry.

## Properties
ρ, g/cm³: 9.0
M_tot, μB/cell: 0.00
ΔE_f, meV/atom: 410

a = 5.1875 Å, b = 5.1875 Å, c = 8.4172 Å
α = 72.05°, β = 72.05°, γ = 90.00°
Atoms (fractional coordinates):
1 B 0.5000 0.5000 0.0000
2 B 0.2500 0.7500 0.5000
3 Hg 0.4644 0.1250 0.2500
4 Hg 0.2856 0.6250 0.2500
5 Hg 0.3750 0.5356 0.7500
6 Hg 0.8750 0.7144 0.7500
7 La 0.0000 0.0000 0.0000
8 La 0.7500 0.2500 0.5000